First-principles (PBE) data for a relaxed structure of Er3Tm2Te8, as listed in Alexandria via LeMat-Bulk.

## Properties
The value obtained for the volume is 460 Å³ per cell. As for the density of states at the Fermi level: 0.44 states/eV per atom. The value obtained for the magnetization is 0.00 μB/f.u.

Cell: 8.7236 8.7236 7.4279 Å, 105.98 105.98 59.14°
Fractional positions:
Er: 0.0000 0.0000 0.0000
Er: 0.2571 0.7429 0.5000
Er: 0.7429 0.2571 0.5000
Tm: 0.2505 0.2505 0.8307
Tm: 0.7495 0.7495 0.1693
Te: 0.1216 0.1216 0.4155
Te: 0.1261 0.6290 0.0873
Te: 0.3710 0.8739 0.9127
Te: 0.3830 0.3830 0.6040
Te: 0.6170 0.6170 0.3960
Te: 0.6290 0.1261 0.0873
Te: 0.8739 0.3710 0.9127
Te: 0.8784 0.8784 0.5845

First-principles (PBE) data for a relaxed structure of ErTm4Te5, as listed in Alexandria via LeMat-Bulk.

## Properties
The value obtained for the volume is 283 Å³ per cell. Its offset from the most stable computed form is 0.000 eV per atom. As for the density of states at the Fermi level: 0.50 states/eV per atom. The value obtained for the magnetization is 0.00 μB/f.u.

Cell: 15.9528 15.9528 15.9528 Å, 164.69 164.69 21.72°
Fractional positions:
Er: 0.0000 0.0000 0.0000
Tm: 0.2114 0.2114 0.0000
Tm: 0.4073 0.4073 0.0000
Tm: 0.5927 0.5927 0.0000
Tm: 0.7886 0.7886 0.0000
Te: 0.1033 0.1033 0.0000
Te: 0.3080 0.3080 0.0000
Te: 0.5000 0.5000 0.0000
Te: 0.6920 0.6920 0.0000
Te: 0.8967 0.8967 0.0000

First-principles (PBE) data for a relaxed structure of ErTm2Te2, as listed in Alexandria via LeMat-Bulk.

## Properties
The value obtained for the volume is 292 Å³ per cell. Its offset from the most stable computed form is 0.000 eV per atom. As for the density of states at the Fermi level: 0.74 states/eV per atom. The value obtained for the magnetization is 0.00 μB/f.u.

Cell: 4.2013 4.2013 16.5566 Å, 90.00 90.00 90.00°
Fractional positions:
Er: 0.0000 0.0000 0.0000
Er: 0.5000 0.5000 0.5000
Tm: 0.0000 0.0000 0.3787
Tm: 0.0000 0.0000 0.6213
Tm: 0.5000 0.5000 0.1213
Tm: 0.5000 0.5000 0.8787
Te: 0.0000 0.0000 0.1802
Te: 0.0000 0.0000 0.8198
Te: 0.5000 0.5000 0.3198
Te: 0.5000 0.5000 0.6802

First-principles (PBE) data for a relaxed structure of Er3TmTe6, as listed in Alexandria via LeMat-Bulk.

## Properties
The value obtained for the volume is 646 Å³ per cell. Its offset from the most stable computed form is 0.000 eV per atom. The value obtained for the magnetization is 0.00 μB/f.u.

Cell: 7.2759 7.9686 13.2877 Å, 90.00 123.08 90.00°
Fractional positions:
Er: 0.0000 0.0000 0.0000
Er: 0.0000 0.5000 0.5000
Er: 0.3039 0.1215 0.7505
Er: 0.3039 0.3785 0.2505
Er: 0.6961 0.6215 0.7495
Er: 0.6961 0.8785 0.2495
Tm: 0.5000 0.0000 0.5000
Tm: 0.5000 0.5000 0.0000
Te: 0.0847 0.0517 0.2507
Te: 0.0847 0.4483 0.7507
Te: 0.2459 0.6738 0.0824
Te: 0.2459 0.8262 0.5824
Te: 0.4195 0.1747 0.0821
Te: 0.4195 0.3253 0.5821
Te: 0.5805 0.6747 0.4179
Te: 0.5805 0.8253 0.9179
Te: 0.7541 0.1738 0.4176
Te: 0.7541 0.3262 0.9176
Te: 0.9153 0.5517 0.2493
Te: 0.9153 0.9483 0.7493

First-principles (PBE) data for a relaxed structure of Er6TmTe8, as listed in Alexandria via LeMat-Bulk.

## Properties
The value obtained for the volume is 450 Å³ per cell. As for the density of states at the Fermi level: 0.44 states/eV per atom. The value obtained for the magnetization is 0.00 μB/f.u.

Cell: 8.6030 8.6030 8.6030 Å, 60.00 60.00 60.00°
Fractional positions:
Er: 0.0000 0.0000 0.5000
Er: 0.0000 0.5000 0.0000
Er: 0.0000 0.5000 0.5000
Er: 0.5000 0.0000 0.0000
Er: 0.5000 0.0000 0.5000
Er: 0.5000 0.5000 0.0000
Tm: 0.0000 0.0000 0.0000
Te: 0.2500 0.2500 0.2500
Te: 0.2548 0.2548 0.7452
Te: 0.2548 0.7452 0.2548
Te: 0.2548 0.7452 0.7452
Te: 0.7452 0.2548 0.2548
Te: 0.7452 0.2548 0.7452
Te: 0.7452 0.7452 0.2548
Te: 0.7500 0.7500 0.7500

First-principles (PBE) data for a relaxed structure of Er3TmTe2, as listed in Alexandria via LeMat-Bulk.

## Properties
The value obtained for the volume is 348 Å³ per cell. As for the density of states at the Fermi level: 1.03 states/eV per atom. The value obtained for the magnetization is 0.01 μB/f.u.

Cell: 9.0727 9.0727 10.1346 Å, 90.21 90.21 24.67°
Fractional positions:
Er: 0.0165 0.0165 0.3485
Er: 0.3596 0.3596 0.4603
Er: 0.3909 0.3909 0.8764
Er: 0.6091 0.6091 0.1236
Er: 0.6404 0.6404 0.5397
Er: 0.9835 0.9835 0.6515
Tm: 0.1990 0.1990 0.8663
Tm: 0.8010 0.8010 0.1337
Te: 0.2034 0.2034 0.3138
Te: 0.4338 0.4338 0.1657
Te: 0.5662 0.5662 0.8343
Te: 0.7966 0.7966 0.6862

First-principles (PBE) data for a relaxed structure of ErTm5Te4, as listed in Alexandria via LeMat-Bulk.

## Properties
The value obtained for the volume is 641 Å³ per cell. As for the density of states at the Fermi level: 1.10 states/eV per atom. The value obtained for the magnetization is 0.01 μB/f.u.

Cell: 9.0932 9.4916 7.4282 Å, 90.00 90.00 90.00°
Fractional positions:
Er: 0.2500 0.2500 0.1397
Er: 0.7500 0.7500 0.8603
Tm: 0.0620 0.0615 0.7709
Tm: 0.0620 0.4385 0.7709
Tm: 0.2500 0.7500 0.7813
Tm: 0.4380 0.0615 0.7709
Tm: 0.4380 0.4385 0.7709
Tm: 0.5620 0.5615 0.2291
Tm: 0.5620 0.9385 0.2291
Tm: 0.7500 0.2500 0.2187
Tm: 0.9380 0.5615 0.2291
Tm: 0.9380 0.9385 0.2291
Te: 0.0196 0.2500 0.4423
Te: 0.2500 0.5548 0.0958
Te: 0.2500 0.9452 0.0958
Te: 0.4804 0.2500 0.4423
Te: 0.5196 0.7500 0.5577
Te: 0.7500 0.0548 0.9042
Te: 0.7500 0.4452 0.9042
Te: 0.9804 0.7500 0.5577

First-principles (PBE) data for a relaxed structure of Er2Tm2Te7, as listed in Alexandria via LeMat-Bulk.

## Properties
The value obtained for the volume is 323 Å³ per cell. As for the density of states at the Fermi level: 0.48 states/eV per atom. The value obtained for the magnetization is 0.00 μB/f.u.

Cell: 9.5237 9.5237 9.5237 Å, 154.67 67.93 118.16°
Fractional positions:
Er: 0.2424 0.0000 0.2424
Er: 0.7576 0.0000 0.7576
Tm: 0.3266 0.8266 0.5000
Tm: 0.7746 0.7746 0.0000
Te: 0.0241 0.7008 0.3232
Te: 0.0930 0.0930 0.0000
Te: 0.3776 0.7008 0.6768
Te: 0.3898 0.4990 0.8908
Te: 0.6082 0.4990 0.1092
Te: 0.6734 0.3154 0.3580
Te: 0.9574 0.3154 0.6420

First-principles (PBE) data for a relaxed structure of ErTm3Te3, as listed in Alexandria via LeMat-Bulk.

## Properties
The value obtained for the volume is 440 Å³ per cell. As for the density of states at the Fermi level: 0.90 states/eV per atom. The value obtained for the magnetization is 0.87 μB/f.u.

Cell: 11.0413 11.0413 11.0413 Å, 37.14 37.14 37.14°
Fractional positions:
Er: 0.1669 0.1669 0.1669
Er: 0.8331 0.8331 0.8331
Tm: 0.0330 0.7194 0.3796
Tm: 0.2806 0.6204 0.9670
Tm: 0.3796 0.0330 0.7194
Tm: 0.6204 0.9670 0.2806
Tm: 0.7194 0.3796 0.0330
Tm: 0.9670 0.2806 0.6204
Te: 0.1222 0.4396 0.7607
Te: 0.2393 0.8778 0.5604
Te: 0.4396 0.7607 0.1222
Te: 0.5604 0.2393 0.8778
Te: 0.7607 0.1222 0.4396
Te: 0.8778 0.5604 0.2393

First-principles (PBE) data for a relaxed structure of Er4Tm3Te2, as listed in Alexandria via LeMat-Bulk.

## Properties
The value obtained for the volume is 260 Å³ per cell. As for the density of states at the Fermi level: 1.25 states/eV per atom. The value obtained for the magnetization is 0.00 μB/f.u.

Cell: 7.9518 7.9518 7.5860 Å, 105.87 105.87 34.44°
Fractional positions:
Er: 0.0603 0.0603 0.3401
Er: 0.2765 0.2765 0.6883
Er: 0.7235 0.7235 0.3117
Er: 0.9397 0.9397 0.6599
Tm: 0.3943 0.3943 0.3441
Tm: 0.5000 0.5000 0.0000
Tm: 0.6057 0.6057 0.6559
Te: 0.1394 0.1394 0.9833
Te: 0.8606 0.8606 0.0167

no.,formation energy (no corrections) (eV per atom)
1,-1.222
2,-1.179
3,-0.910
4,-1.311
5,-1.305
6,-0.727
7,-0.698
8,-1.151
9,-0.893
10,-0.432